No. 1
This record from Alexandria via LeMat-Bulk describes an optimized crystal structure of ZrTaSe2. The functional is PBE.

Properties
- space-group type = No. 44
- formation energy from raw total energies (eV/atom) = -0.510

a b c (Å): 6.0351 6.0351 6.0351
angles (deg): 148.86 135.58 55.24
Positions (direct):
Se (0.9812, 0.9812, 0.0000)
Se (0.2762, 0.7762, 0.5000)
Ta (0.4751, 0.4751, 0.0000)
Zr (0.7675, 0.2675, 0.5000)


No. 2
This record from Alexandria via LeMat-Bulk describes an optimized crystal structure of RhPb2Cl2. The functional is PBE.

Properties
- space-group type = No. 139
- formation energy from raw total energies (eV/atom) = 0.141

a b c (Å): 4.3044 4.3044 7.7768
angles (deg): 73.93 73.93 90.00
Positions (direct):
Pb (0.3891, 0.3891, 0.2217)
Pb (0.6109, 0.6109, 0.7783)
Rh (0.0000, 0.0000, 0.0000)
Cl (0.7500, 0.2500, 0.5000)
Cl (0.2500, 0.7500, 0.5000)


No. 3
This record from Alexandria via LeMat-Bulk describes an optimized crystal structure of Cs2KAgHg. The functional is PBE.

Properties
- space-group type = No. 11
- energy of formation from the pure elements (eV/atom) = -0.09

a b c (Å): 5.3018 8.0411 12.1092
angles (deg): 90.06 90.00 90.00
Positions (direct):
Cs (0.7500, 0.7453, 0.5498)
Cs (0.7500, 0.7453, 0.9502)
Cs (0.2500, 0.2547, 0.4502)
Cs (0.2500, 0.2547, 0.0498)
K (0.2500, 0.7394, 0.2501)
K (0.7500, 0.2606, 0.7499)
Ag (0.2500, 0.5689, 0.7500)
Ag (0.7500, 0.4311, 0.2500)
Hg (0.2500, 0.9363, 0.7505)
Hg (0.7500, 0.0637, 0.2495)


No. 4
This record from Alexandria via LeMat-Bulk describes an optimized crystal structure of Ba3OsPd. The functional is PBE.

Properties
- space-group type = No. 221
- energy of formation from the pure elements (eV/atom) = 0.43

a b c (Å): 5.8537 5.8537 5.8537
angles (deg): 90.00 90.00 90.00
Positions (direct):
Os (0.0000, 0.0000, 0.0000)
Ba (0.0000, 0.5000, 0.0000)
Ba (0.0000, 0.0000, 0.5000)
Ba (0.5000, 0.0000, 0.0000)
Pd (0.5000, 0.5000, 0.5000)


No. 5
This record from Alexandria via LeMat-Bulk describes an optimized crystal structure of Tc4Os2Ru3. The functional is PBE.

Properties
- space-group type = No. 15
- energy of formation from the pure elements (eV/atom) = 0.20

a b c (Å): 4.6422 7.7916 7.7916
angles (deg): 72.69 82.15 82.15
Positions (direct):
Tc (0.5495, 0.0430, 0.8308)
Tc (0.9505, 0.1692, 0.9570)
Tc (0.4505, 0.9570, 0.1692)
Tc (0.0495, 0.8308, 0.0430)
Tc (0.1842, 0.6988, 0.5086)
Tc (0.3158, 0.4914, 0.3012)
Tc (0.8158, 0.3012, 0.4914)
Tc (0.6842, 0.5086, 0.6988)
Os (0.6294, 0.8457, 0.6145)
Os (0.8706, 0.3855, 0.1543)
Os (0.3706, 0.1543, 0.3855)
Os (0.1294, 0.6145, 0.8457)
Ru (0.0724, 0.9868, 0.6756)
Ru (0.4276, 0.3244, 0.0132)
Ru (0.9276, 0.0132, 0.3244)
Ru (0.5724, 0.6756, 0.9868)
Ru (0.2500, 0.3300, 0.6700)
Ru (0.7500, 0.6700, 0.3300)


No. 6
This record from Alexandria via LeMat-Bulk describes an optimized crystal structure of CoMoRu2. The functional is PBE.

Properties
- space-group type = No. 122
- energy of formation from the pure elements (eV/atom) = 1.23

a b c (Å): 5.5930 5.5930 6.3260
angles (deg): 63.76 63.76 90.00
Positions (direct):
Ru (0.5989, 0.1250, 0.2500)
Ru (0.1511, 0.6250, 0.2500)
Ru (0.3750, 0.4011, 0.7500)
Ru (0.8750, 0.8489, 0.7500)
Mo (0.0000, 0.0000, 0.0000)
Mo (0.7500, 0.2500, 0.5000)
Co (0.5000, 0.5000, 0.0000)
Co (0.2500, 0.7500, 0.5000)


No. 7
This record from Alexandria via LeMat-Bulk describes an optimized crystal structure of PrMg4Ir2. The functional is PBE.

Properties
- space-group type = No. 136
- energy of formation from the pure elements (eV/atom) = -0.38

a b c (Å): 4.2611 8.1943 8.1943
angles (deg): 90.00 90.00 90.00
Positions (direct):
Pr (0.5000, 0.0000, 0.0000)
Pr (0.0000, 0.5000, 0.5000)
Mg (0.0000, 0.0951, 0.3376)
Mg (0.0000, 0.9049, 0.6624)
Mg (0.5000, 0.1624, 0.5951)
Mg (0.5000, 0.8376, 0.4049)
Mg (0.5000, 0.4049, 0.8376)
Mg (0.5000, 0.5951, 0.1624)
Mg (0.0000, 0.3376, 0.0951)
Mg (0.0000, 0.6624, 0.9049)
Ir (0.0000, 0.2080, 0.7920)
Ir (0.0000, 0.7920, 0.2080)
Ir (0.5000, 0.7080, 0.7080)
Ir (0.5000, 0.2920, 0.2920)


No. 8
This record from Alexandria via LeMat-Bulk describes an optimized crystal structure of CaCd. The functional is PBE.

Properties
- space-group type = No. 186
- energy of formation from the pure elements (eV/atom) = 0.32

a b c (Å): 5.0069 5.0069 8.2434
angles (deg): 90.00 90.00 120.00
Positions (direct):
Ca (0.3333, 0.6667, 0.9993)
Ca (0.6667, 0.3333, 0.4993)
Cd (0.3333, 0.6667, 0.3717)
Cd (0.6667, 0.3333, 0.8717)


No. 9
This record from Alexandria via LeMat-Bulk describes an optimized crystal structure of CsCaTc3. The functional is PBE.

Properties
- space-group type = No. 221
- energy of formation from the pure elements (eV/atom) = 2.55

a b c (Å): 4.9967 4.9967 4.9967
angles (deg): 90.00 90.00 90.00
Positions (direct):
Cs (0.0000, 0.0000, 0.0000)
Ca (0.5000, 0.5000, 0.5000)
Tc (0.0000, 0.5000, 0.0000)
Tc (0.0000, 0.0000, 0.5000)
Tc (0.5000, 0.0000, 0.0000)


No. 10
This record from Alexandria via LeMat-Bulk describes an optimized crystal structure of Ho3ScCd12. The functional is PBE.

Properties
- space-group type = No. 123
- energy of formation from the pure elements (eV/atom) = -0.23

a b c (Å): 4.4658 4.4658 18.8290
angles (deg): 90.00 90.00 90.00
Positions (direct):
Ho (0.0000, 0.0000, 0.2464)
Ho (0.0000, 0.0000, 0.5000)
Ho (0.0000, 0.0000, 0.7536)
Sc (0.0000, 0.0000, 0.0000)
Cd (0.5000, 0.5000, 0.0000)
Cd (0.5000, 0.5000, 0.2459)
Cd (0.5000, 0.5000, 0.5000)
Cd (0.5000, 0.5000, 0.7541)
Cd (0.5000, 0.0000, 0.1199)
Cd (0.5000, 0.0000, 0.3732)
Cd (0.5000, 0.0000, 0.6268)
Cd (0.5000, 0.0000, 0.8801)
Cd (0.0000, 0.5000, 0.1199)
Cd (0.0000, 0.5000, 0.3732)
Cd (0.0000, 0.5000, 0.6268)
Cd (0.0000, 0.5000, 0.8801)


No. 11
This record from Alexandria via LeMat-Bulk describes an optimized crystal structure of ZnCdIr2Cl. The functional is PBE.

Properties
- space-group type = No. 123
- formation energy from raw total energies (eV/atom) = 1.297

a b c (Å): 4.4478 5.1367 4.4478
angles (deg): 90.00 90.00 90.00
Positions (direct):
Cl (0.0000, 0.0000, 0.0000)
Zn (0.5000, 0.5000, 0.5000)
Ir (0.0000, 0.0000, 0.5000)
Ir (0.5000, 0.0000, 0.0000)
Cd (0.0000, 0.5000, 0.0000)


No. 12
This record from Alexandria via LeMat-Bulk describes an optimized crystal structure of Ca2PmSm4. The functional is PBE.

Properties
- space-group type = No. 71
- energy of formation from the pure elements (eV/atom) = 0.13

a b c (Å): 3.5672 5.9261 12.3759
angles (deg): 103.87 98.29 90.00
Positions (direct):
Ca (0.2792, 0.2790, 0.5584)
Ca (0.7208, 0.7210, 0.4416)
Sm (0.0803, 0.5806, 0.1606)
Sm (0.9197, 0.4194, 0.8394)
Sm (0.3695, 0.8692, 0.7390)
Sm (0.6305, 0.1308, 0.2610)
Pm (0.0000, 0.0000, 0.0000)